Density functional theory data (GGA-PBE) for SrRe2Ge2 after structural relaxation.

Cell lengths 5.7955, 5.7955, 5.7955 Å; angles 132.94, 132.94, 68.74 degrees
With the nearest neighbours (Å) after each atom.
Fractional positions:
1 Sr 0.0000 0.0000 0.0000  8 Ge 3.33, 10 Re 3.47-3.63
2 Re 0.3790 0.3790 0.0000  1 Re 2.32
3 Re 0.6210 0.6210 0.0000  1 Re 2.32
4 Ge 0.2500 0.7500 0.5000  4 Re 2.62
5 Ge 0.7500 0.2500 0.5000  4 Re 2.62

Values from the calculation:
The total DFT energy (no corrections) is -35.51 eV/cell. The magnetic moment is 0.0000 μB per atom. Its space group is No. 139. For the density of states at the Fermi level, the calculation gives 3.36 states/eV/cell. The value obtained for the energy of formation is 61 meV per atom.